No. 1
Material: Zr2TlRuCl
Method: DFT, PBE
State: optimized geometry

```
Zr2TlRuCl
1.0
-1.779 4.185 -1.095
-4.840 -1.867 0.724
0.188 1.258 4.501
Ru Zr Cl Tl
1 2 1 1
Cartesian
-3.215 1.788 2.065
-0.889 2.093 -0.547
0.094 0.629 2.251
0.000 0.000 0.000
-2.420 -0.934 0.362
```

Computed properties:
Raw formation energy ... 688 meV per atom
D(E_F) ... 6.53 states/eV/f.u.



No. 2
Material: VNiRu2
Method: DFT, PBE
State: optimized geometry

```
VNiRu2
1.0
-1.291 2.250 -1.636
-2.713 -1.417 0.192
-1.114 2.770 4.690
Ru Ni V
2 1 1
Cartesian
-0.284 0.706 1.195
-0.830 2.064 3.495
-2.559 1.802 1.623
-2.002 0.417 -0.722
```

Computed properties:
Energy of formation from the pure elements ... -0.2 eV/f.u.
D(E_F) ... 4.39 states/eV/f.u.



No. 3
Material: BeAgH3
Method: DFT, PBE
State: optimized geometry

```
BeAgH3
1.0
-1.255 -3.353 0.612
1.782 -0.089 3.163
-2.905 1.393 1.676
Ag Be H
1 1 3
Cartesian
0.000 0.000 0.000
-1.189 -1.024 2.726
-1.453 0.697 0.838
0.891 -0.045 1.582
-0.627 -1.676 0.306
```

Computed properties:
Excess energy over the best structure of this formula in the dataset ... 0.4491 eV per atom
D(E_F) ... 1.45 states/eV/f.u.